Below is BaNpMo2O8 after structural relaxation, with properties calculated at the PBE+U level.

a b c (Å): 5.997 5.997 7.524
angles (deg): 90.00 90.00 120.00
Atoms (fractional coordinates):
Ba (0.000, 0.000, 0.000)
Np (0.000, 0.000, 0.500)
Mo (0.333, 0.667, 0.771)
Mo (0.667, 0.333, 0.229)
O (0.160, 0.839, 0.688)
O (0.161, 0.321, 0.688)
O (0.321, 0.160, 0.312)
O (0.333, 0.667, 0.009)
O (0.667, 0.333, 0.991)
O (0.679, 0.840, 0.688)
O (0.839, 0.679, 0.312)
O (0.840, 0.161, 0.312)

Crystal system   trigonal
Energy   -94.3 eV/cell
Total magnetization   5.000 μB per formula unit
Calculated volume   234 Å³/cell

=====

Below is BaNpMoO6 after structural relaxation, with properties calculated at the PBE+U level.

a b c (Å): 5.536 5.536 5.766
angles (deg): 90.63 90.63 118.30
Atoms (fractional coordinates):
Ba (0.000, 0.000, 0.000)
Np (0.667, 0.333, 0.500)
Mo (0.325, 0.675, 0.500)
O (0.007, 0.623, 0.299)
O (0.372, 0.372, 0.310)
O (0.377, 0.993, 0.701)
O (0.627, 0.001, 0.308)
O (0.628, 0.628, 0.690)
O (0.999, 0.373, 0.692)

Crystal system   monoclinic
Energy   -74.6 eV/cell
Total magnetization   3.000 μB per formula unit
Calculated volume   156 Å³/cell

=====

Below is Ba3Mo5O12 after structural relaxation, with properties calculated at the PBE+U level.

a b c (Å): 11.943 11.943 11.943
angles (deg): 109.47 109.47 109.47
Atoms (fractional coordinates):
Ba (0.125, 0.250, 0.375)
Ba (0.125, 0.375, 0.750)
Ba (0.250, 0.375, 0.125)
Ba (0.250, 0.875, 0.625)
Ba (0.375, 0.125, 0.250)
Ba (0.375, 0.750, 0.125)
Ba (0.625, 0.250, 0.875)
Ba (0.625, 0.875, 0.750)
Ba (0.750, 0.125, 0.375)
Ba (0.750, 0.625, 0.875)
Ba (0.875, 0.625, 0.250)
Ba (0.875, 0.750, 0.625)
Mo (0.000, 0.000, 0.000)
Mo (0.000, 0.000, 0.500)
Mo (0.000, 0.500, 0.000)
Mo (0.000, 0.500, 0.500)
Mo (0.125, 0.750, 0.875)
Mo (0.125, 0.875, 0.250)
Mo (0.250, 0.125, 0.875)
Mo (0.250, 0.625, 0.375)
Mo (0.375, 0.250, 0.625)
Mo (0.375, 0.625, 0.750)
Mo (0.500, 0.000, 0.000)
Mo (0.500, 0.000, 0.500)
Mo (0.500, 0.500, 0.000)
Mo (0.500, 0.500, 0.500)
Mo (0.625, 0.375, 0.250)
Mo (0.625, 0.750, 0.375)
Mo (0.750, 0.375, 0.625)
Mo (0.750, 0.875, 0.125)
Mo (0.875, 0.125, 0.750)
Mo (0.875, 0.250, 0.125)
O (0.010, 0.194, 0.113)
O (0.010, 0.316, 0.897)
O (0.081, 0.694, 0.684)
O (0.081, 0.887, 0.397)
O (0.103, 0.613, 0.419)
O (0.103, 0.990, 0.684)
O (0.113, 0.010, 0.194)
O (0.113, 0.603, 0.919)
O (0.184, 0.194, 0.581)
O (0.184, 0.490, 0.603)
O (0.194, 0.113, 0.010)
O (0.194, 0.581, 0.184)
O (0.306, 0.316, 0.919)
O (0.306, 0.490, 0.387)
O (0.316, 0.897, 0.010)
O (0.316, 0.919, 0.306)
O (0.387, 0.306, 0.490)
O (0.387, 0.581, 0.897)
O (0.397, 0.081, 0.887)
O (0.397, 0.816, 0.510)
O (0.419, 0.103, 0.613)
O (0.419, 0.816, 0.806)
O (0.490, 0.387, 0.306)
O (0.490, 0.603, 0.184)
O (0.510, 0.397, 0.816)
O (0.510, 0.613, 0.694)
O (0.581, 0.184, 0.194)
O (0.581, 0.897, 0.387)
O (0.603, 0.184, 0.490)
O (0.603, 0.919, 0.113)
O (0.613, 0.419, 0.103)
O (0.613, 0.694, 0.510)
O (0.684, 0.081, 0.694)
O (0.684, 0.103, 0.990)
O (0.694, 0.510, 0.613)
O (0.694, 0.684, 0.081)
O (0.806, 0.419, 0.816)
O (0.806, 0.887, 0.990)
O (0.816, 0.510, 0.397)
O (0.816, 0.806, 0.419)
O (0.887, 0.397, 0.081)
O (0.887, 0.990, 0.806)
O (0.897, 0.010, 0.316)
O (0.897, 0.387, 0.581)
O (0.919, 0.113, 0.603)
O (0.919, 0.306, 0.316)
O (0.990, 0.684, 0.103)
O (0.990, 0.806, 0.887)

Crystal system   cubic
Energy   -558.8 eV/cell
Total magnetization   12.000 μB per formula unit
Calculated volume   1311 Å³/cell

=====

Below is Ba2MoO after structural relaxation, with properties calculated at the PBE+U level.

a b c (Å): 7.470 7.470 7.470
angles (deg): 116.05 116.05 96.98
Atoms (fractional coordinates):
Ba (0.007, 0.125, 0.382)
Ba (0.375, 0.993, 0.118)
Ba (0.743, 0.625, 0.618)
Ba (0.875, 0.257, 0.882)
Mo (0.250, 0.750, 0.500)
Mo (0.500, 0.500, 0.000)
O (0.000, 0.000, 0.000)
O (0.750, 0.250, 0.500)

Crystal system   tetragonal
Energy   -36.5 eV/cell
Total magnetization   5.971 μB per formula unit
Calculated volume   310 Å³/cell